The following is a GGA-PBE calculation of crystalline Hg7Bi5 at its relaxed geometry, from Alexandria via LeMat-Bulk.

Energy of formation, meV/atom: 39
Spin magnetization, μB/cell: 0.0
N(E_F), states/eV/cell: 3.42
Calculated volume, Å³ per cell: 373
Space-group type: P1 (1)

Cell lengths 3.325, 10.636, 17.372 Å; angles 45.47, 76.94, 60.34 degrees
Positions (direct):
Hg 0.786 0.140 0.008
Hg 0.576 0.810 0.241
Hg 0.586 0.785 0.502
Hg 0.174 0.761 0.754
Hg 0.266 0.471 0.253
Hg 0.296 0.485 0.474
Hg 0.230 0.121 0.506
Bi 0.482 0.816 0.994
Bi 0.877 0.433 0.748
Bi 0.925 0.453 0.013
Bi 0.970 0.120 0.266
Bi 0.333 0.105 0.741